Record 1
PmHo2Si4, optimized geometry, DFT GGA-PBE; mass density = 6720 kg/m3; raw formation energy = -5.3 eV/f.u.
1.0
-1.942 2.133 8.757
1.942 -2.133 8.757
1.942 2.133 -8.757
Pm Ho Si
1 2 4
Cartesian
0.000 0.000 0.000
1.942 0.000 3.208
0.000 2.133 5.549
1.942 0.000 6.125
0.000 0.000 7.580
0.000 0.000 9.935
0.000 2.133 2.632

---

Record 2
AcPr7Tm4, optimized geometry, DFT GGA-PBE; mass density = 7514 kg/m3; ΔE_f = 0.1 eV per formula unit
1.0
6.398 0.000 0.000
-0.001 7.386 0.000
-2.133 -0.011 8.834
Ac Pr Tm
1 7 4
Cartesian
0.000 0.000 0.000
0.000 3.693 0.000
0.036 7.376 5.843
1.095 5.497 2.990
3.193 1.903 0.034
1.071 5.472 8.800
3.169 1.878 5.845
4.228 -0.001 2.992
-0.032 3.681 5.856
1.060 1.915 2.973
3.204 5.460 5.861
4.296 3.693 2.978

---

Record 3
Gd2SCl4, optimized geometry, DFT GGA-PBE; mass density = 4752 kg/m3; raw formation energy = -15.4 eV/f.u.
1.0
7.729 -3.214 0.000
7.729 3.214 0.000
-0.974 0.000 6.870
Gd S Cl
4 2 8
Cartesian
5.166 1.896 6.337
8.830 1.896 3.967
5.653 -1.896 2.902
9.318 -1.896 0.532
7.485 2.824 1.717
6.998 -2.824 5.152
2.565 0.506 5.637
3.052 -0.506 2.202
5.770 0.626 3.977
8.227 0.626 6.327
6.257 -0.626 0.542
8.714 -0.626 2.893
11.432 0.506 4.668
11.919 -0.506 1.233

---

Record 4
TaCrRe4, optimized geometry, DFT GGA-PBE; mass density = 16612 kg/m3; ΔE_f = 0.9 eV per formula unit
1.0
0.000 3.656 3.656
3.656 0.000 3.656
3.656 3.656 0.000
Ta Cr Re
1 1 4
Cartesian
0.000 0.000 0.000
5.484 5.484 5.484
2.746 2.746 2.746
4.566 4.566 2.746
4.566 2.746 4.566
2.746 4.566 4.566

---

Record 5
InCuRh4, optimized geometry, DFT GGA-PBE; mass density = 10129 kg/m3; ΔE_f = 1.1 eV per formula unit
1.0
0.000 3.643 3.643
3.643 0.000 3.643
3.643 3.643 0.000
In Cu Rh
1 1 4
Cartesian
0.000 0.000 0.000
1.822 1.822 1.822
4.552 2.734 2.734
2.734 4.552 2.734
2.734 2.734 4.552
4.552 4.552 4.552

---

Record 6
AcTlRhO6, optimized geometry, DFT GGA-PBE; mass density = 7378 kg/m3; raw formation energy = -11.5 eV/f.u.
1.0
5.605 0.000 0.000
-2.803 4.854 0.000
0.000 0.000 5.212
Ac Tl Rh O
1 1 1 6
Cartesian
0.000 0.000 0.000
2.803 1.618 2.606
0.000 3.236 2.606
-0.847 1.872 1.476
-1.605 3.184 3.736
0.847 1.872 3.736
-0.758 4.652 1.476
1.605 3.184 1.476
0.758 4.652 3.736

---

Calculated total energy for every record listed, in sequence, given in eV per cell: -40.9, -55.3, -110.2, -70.3, -35.1, -55.0.
Magnetization for every record listed, in sequence, given in μB per atom: 0.0000, 0.0000, 1.9960, 0.4908, 0.0027, 0.3028.
Density of states at the Fermi level for every record listed, in sequence, given in states/eV per atom: 0.499, 1.358, 0.000, 0.778, 1.784, 0.512.